The following is a DFT calculation (PBE) of a relaxed Sc2MnGa crystal.

```
Sc2MnGa
1.0
7.2896 0.0000 0.0000
0.0000 7.2896 0.0000
3.6448 3.6448 2.7320
Sc Ga Mn
4 2 2
direct
0.5837 0.1250 0.2500 Sc
0.8750 0.8337 0.7500 Sc
0.1663 0.6250 0.2500 Sc
0.3750 0.4163 0.7500 Sc
0.7500 0.2500 0.5000 Ga
0.0000 0.0000 0.0000 Ga
0.2500 0.7500 0.5000 Mn
0.5000 0.5000 0.0000 Mn
```

Values from the calculation:
Its total energy is -5.983 eV per atom. Its formation energy is 0.2322 eV/atom. Its density of states at the Fermi level is 10.2 states/eV/cell.

The following is a DFT calculation (PBE) of a relaxed Ni2MoPb crystal.

```
Ni2MoPb
1.0
4.4443 0.0000 0.0000
2.2221 3.8488 0.0000
2.2221 1.2829 3.6287
Mo Ni Pb
1 2 1
direct
0.5000 0.5000 0.5000 Mo
0.2500 0.2500 0.2500 Ni
0.0000 0.0000 0.0000 Ni
0.7500 0.7500 0.7500 Pb
```

Values from the calculation:
Its total energy is -6.000 eV per atom. Its formation energy is 0.5257 eV/atom. Its density of states at the Fermi level is 5.3 states/eV/cell.

The following is a DFT calculation (PBE) of a relaxed Be2IrAu crystal.

```
Be2IrAu
1.0
-2.2805 0.4763 -3.5199
0.2572 -2.8687 -3.0857
-3.2581 -2.5714 -0.7680
Be Ir Au
2 1 1
direct
0.0000 0.0000 0.0000 Be
0.2500 0.2500 0.2500 Be
0.7500 0.7500 0.7500 Ir
0.5000 0.5000 0.5000 Au
```

Values from the calculation:
Its total energy is -4.668 eV per atom. Its formation energy is 0.2299 eV/atom. Its density of states at the Fermi level is 2.5 states/eV/cell.

The following is a DFT calculation (PBE) of a relaxed NaPmY2 crystal.

```
NaPmY2
1.0
-3.5345 -0.0818 -0.2196
-1.8566 -2.1523 2.1139
-2.5574 8.5356 9.4126
Y Na Pm
2 1 1
direct
0.0914 0.0914 0.7258 Y
0.9086 0.9086 0.2742 Y
0.0000 0.0000 0.0000 Na
0.5000 0.5000 0.5000 Pm
```

Values from the calculation:
Its total energy is -4.571 eV per atom. Its formation energy is 0.1788 eV/atom. Its density of states at the Fermi level is 6.1 states/eV/cell.

The following is a DFT calculation (PBE) of a relaxed Mg5Cd8In crystal.

```
Mg5Cd8In
1.0
7.5177 -0.0055 0.0095
-2.5489 7.0724 -0.0095
-2.4199 -3.5788 6.1524
Cd Mg In
8 5 1
direct
0.0829 0.7285 0.4862 Cd
0.5138 0.5966 0.2423 Cd
0.6457 0.4034 0.9171 Cd
0.5853 0.9443 0.8704 Cd
0.9261 0.0557 0.6409 Cd
0.3591 0.2852 0.4147 Cd
0.7577 0.2715 0.3543 Cd
0.1296 0.7148 0.0739 Cd
0.0312 0.3200 0.1117 Mg
0.7916 0.6800 0.7112 Mg
0.8883 0.9195 0.2084 Mg
0.2888 0.0805 0.9688 Mg
0.5000 0.0000 0.5000 Mg
0.2500 0.5000 0.7500 In
```

Values from the calculation:
Its total energy is -1.305 eV per atom. Its formation energy is -0.0173 eV/atom. Its density of states at the Fermi level is 4.6 states/eV/cell.

The following is a DFT calculation (PBE) of a relaxed Dy5Tm12Th crystal.

```
Dy5Tm12Th
1.0
6.0903 0.0000 0.3614
3.0451 5.2833 0.1807
1.0194 0.0000 17.1321
Th Tm Dy
1 12 5
direct
0.0000 0.0000 0.0000 Th
0.1103 0.0000 0.6684 Tm
0.8897 0.0000 0.3316 Tm
0.7770 0.6667 0.6685 Tm
0.9447 0.6691 0.1661 Tm
0.3863 0.6691 0.8339 Tm
0.6137 0.3309 0.1661 Tm
0.2758 0.0000 0.1660 Tm
0.0553 0.3309 0.8339 Tm
0.5563 0.6667 0.3315 Tm
0.2230 0.3333 0.3315 Tm
0.7242 0.0000 0.8340 Tm
0.4437 0.3333 0.6685 Tm
0.8337 0.3326 0.5000 Dy
0.5000 0.0000 0.5000 Dy
0.6667 0.6666 0.0000 Dy
0.1663 0.6675 0.5000 Dy
0.3333 0.3334 0.0000 Dy
```

Values from the calculation:
Its total energy is -4.660 eV per atom. Its formation energy is 0.0113 eV/atom. Its density of states at the Fermi level is 24.4 states/eV/cell.

The lowest total energy belongs to which entry? Ni2MoPb